[1]
Here is a geometry-optimized K3Ce3PmTe8 structure from the Alexandria database. Energies are from PBE.

* energy relative to the elements, uncorrected: -1.3414 eV per atom

abc: 9.853 9.853 9.853
angles: 55.42 55.42 55.42
Element x y z (fractional)
K 0.000 0.500 0.500
K 0.500 0.000 0.500
K 0.500 0.500 0.000
Ce 0.000 0.000 0.500
Ce 0.000 0.500 0.000
Ce 0.500 0.000 0.000
Pm 0.500 0.500 0.500
Te 0.234 0.738 0.738
Te 0.238 0.238 0.238
Te 0.262 0.262 0.766
Te 0.262 0.766 0.262
Te 0.738 0.234 0.738
Te 0.738 0.738 0.234
Te 0.762 0.762 0.762
Te 0.766 0.262 0.262

[2]
Here is a geometry-optimized V2NCl structure from the Alexandria database. Energies are from PBE.

* energy relative to the elements, uncorrected: -0.3716 eV per atom
* energy above the lowest structure with this stoichiometry: 0 meV/atom

abc: 5.046 5.046 9.539
angles: 90.00 90.00 90.00
Element x y z (fractional)
V 0.170 0.250 0.125
V 0.250 0.670 0.375
V 0.250 0.830 0.875
V 0.330 0.250 0.625
V 0.670 0.750 0.625
V 0.750 0.170 0.875
V 0.750 0.330 0.375
V 0.830 0.750 0.125
N 0.000 0.000 0.000
N 0.000 0.500 0.250
N 0.500 0.000 0.750
N 0.500 0.500 0.500
Cl 0.000 0.000 0.500
Cl 0.000 0.500 0.750
Cl 0.500 0.000 0.250
Cl 0.500 0.500 0.000

[3]
Here is a geometry-optimized NaMgCu2 structure from the Alexandria database. Energies are from PBE.

* formation energy from the elements: 377 meV per atom

abc: 4.703 4.703 18.074
angles: 90.00 90.00 90.00
Element x y z (fractional)
Na 0.000 0.000 0.000
Na 0.000 0.500 0.250
Na 0.500 0.000 0.750
Na 0.500 0.500 0.500
Mg 0.000 0.000 0.500
Mg 0.000 0.500 0.750
Mg 0.500 0.000 0.250
Mg 0.500 0.500 0.000
Cu 0.015 0.750 0.625
Cu 0.250 0.015 0.375
Cu 0.250 0.485 0.875
Cu 0.485 0.750 0.125
Cu 0.515 0.250 0.125
Cu 0.750 0.515 0.875
Cu 0.750 0.985 0.375
Cu 0.985 0.250 0.625

[4]
Here is a geometry-optimized Pt4Pb3 structure from the Alexandria database. Energies are from PBE.

* energy above the lowest structure with this stoichiometry: 0 meV/atom
* formation energy from the elements: -18 meV per atom

abc: 3.548 3.548 23.796
angles: 90.00 90.00 90.00
Element x y z (fractional)
Pt 0.000 0.000 0.064
Pt 0.000 0.000 0.375
Pt 0.000 0.000 0.625
Pt 0.000 0.000 0.936
Pt 0.500 0.500 0.125
Pt 0.500 0.500 0.436
Pt 0.500 0.500 0.564
Pt 0.500 0.500 0.875
Pb 0.000 0.000 0.188
Pb 0.000 0.000 0.500
Pb 0.000 0.000 0.812
Pb 0.500 0.500 0.000
Pb 0.500 0.500 0.312
Pb 0.500 0.500 0.688

[5]
Here is a geometry-optimized LiPr3Pu2Se6 structure from the Alexandria database. Energies are from PBE.

* energy relative to the elements, uncorrected: -1.6788 eV per atom

abc: 7.258 7.258 7.271
angles: 99.60 99.60 120.03
Element x y z (fractional)
Li 0.000 0.000 0.000
Pr 0.167 0.833 0.500
Pr 0.500 0.500 0.500
Pr 0.833 0.167 0.500
Pu 0.334 0.666 0.000
Pu 0.666 0.334 0.000
Se 0.079 0.406 0.237
Se 0.248 0.248 0.763
Se 0.406 0.079 0.237
Se 0.594 0.921 0.763
Se 0.752 0.752 0.237
Se 0.921 0.594 0.763

[6]
Here is a geometry-optimized MgTl2In3 structure from the Alexandria database. Energies are from PBE.

* energy above the lowest structure with this stoichiometry: 30 meV/atom
* formation energy from the elements: 29 meV per atom

abc: 7.247 7.247 6.339
angles: 90.00 90.00 97.47
Element x y z (fractional)
Mg 0.235 0.765 0.750
Mg 0.765 0.235 0.250
Tl 0.093 0.564 0.250
Tl 0.436 0.907 0.250
Tl 0.564 0.093 0.750
Tl 0.907 0.436 0.750
In 0.162 0.162 0.000
In 0.162 0.162 0.500
In 0.500 0.500 0.000
In 0.500 0.500 0.500
In 0.838 0.838 0.000
In 0.838 0.838 0.500

[7]
Here is a geometry-optimized ScMnBeMo structure from the Alexandria database. Energies are from PBE.

* formation energy from the elements: 32 meV per atom

abc: 6.054 6.054 6.054
angles: 90.00 90.00 90.00
Element x y z (fractional)
Sc 0.000 0.000 0.000
Sc 0.000 0.500 0.500
Sc 0.500 0.000 0.500
Sc 0.500 0.500 0.000
Mn 0.250 0.250 0.250
Mn 0.250 0.750 0.750
Mn 0.750 0.250 0.750
Mn 0.750 0.750 0.250
Be 0.250 0.250 0.750
Be 0.250 0.750 0.250
Be 0.750 0.250 0.250
Be 0.750 0.750 0.750
Mo 0.000 0.000 0.500
Mo 0.000 0.500 0.000
Mo 0.500 0.000 0.000
Mo 0.500 0.500 0.500

[8]
Here is a geometry-optimized ScNiW2 structure from the Alexandria database. Energies are from PBE.

* energy above the lowest structure with this stoichiometry: 308 meV/atom
* formation energy from the elements: 372 meV per atom

abc: 3.181 3.181 6.493
angles: 90.00 90.00 90.00
Element x y z (fractional)
Sc 0.000 0.000 0.000
Ni 0.000 0.000 0.500
W 0.500 0.500 0.305
W 0.500 0.500 0.695

[9]
Here is a geometry-optimized HfMnGa2 structure from the Alexandria database. Energies are from PBE.

* formation energy from the elements: -194 meV per atom

abc: 4.156 4.156 13.411
angles: 90.00 90.00 120.00
Element x y z (fractional)
Hf 0.000 0.000 0.000
Hf 0.333 0.667 0.667
Hf 0.667 0.333 0.333
Mn 0.000 0.000 0.500
Mn 0.333 0.667 0.167
Mn 0.667 0.333 0.833
Ga 0.000 0.000 0.228
Ga 0.000 0.000 0.772
Ga 0.333 0.667 0.438
Ga 0.333 0.667 0.895
Ga 0.667 0.333 0.105
Ga 0.667 0.333 0.562

[10]
Here is a geometry-optimized Pm5NdEr5 structure from the Alexandria database. Energies are from PBE.

* formation energy from the elements: 291 meV per atom

abc: 6.094 6.094 11.805
angles: 90.00 90.00 120.00
Element x y z (fractional)
Pm 0.000 0.000 0.000
Pm 0.333 0.667 0.320
Pm 0.333 0.667 0.680
Pm 0.667 0.333 0.155
Pm 0.667 0.333 0.845
Nd 0.333 0.667 0.000
Er 0.000 0.000 0.266
Er 0.000 0.000 0.734
Er 0.333 0.166 0.500
Er 0.834 0.166 0.500
Er 0.834 0.667 0.500

[11]
Here is a geometry-optimized V11Pt4Rh9 structure from the Alexandria database. Energies are from PBE.

* formation energy from the elements: -375 meV per atom

abc: 11.154 11.154 2.731
angles: 90.00 90.00 94.05
Element x y z (fractional)
V 0.000 0.000 0.000
V 0.068 0.409 0.000
V 0.185 0.815 0.000
V 0.228 0.228 0.000
V 0.356 0.644 0.000
V 0.409 0.068 0.000
V 0.591 0.932 0.000
V 0.644 0.356 0.000
V 0.772 0.772 0.000
V 0.815 0.185 0.000
V 0.932 0.591 0.000
Pt 0.268 0.434 0.500
Pt 0.434 0.268 0.500
Pt 0.566 0.732 0.500
Pt 0.732 0.566 0.500
Rh 0.022 0.198 0.500
Rh 0.136 0.623 0.500
Rh 0.198 0.022 0.500
Rh 0.377 0.864 0.500
Rh 0.500 0.500 0.500
Rh 0.623 0.136 0.500
Rh 0.802 0.978 0.500
Rh 0.864 0.377 0.500
Rh 0.978 0.802 0.500

[12]
Here is a geometry-optimized ReMoSe2 structure from the Alexandria database. Energies are from PBE.

* energy relative to the elements, uncorrected: 0.2432 eV per atom
* energy above the lowest structure with this stoichiometry: 320 meV/atom

abc: 8.846 3.241 6.121
angles: 90.00 98.70 90.00
Element x y z (fractional)
Re 0.000 0.000 0.000
Re 0.500 0.500 0.000
Mo 0.281 0.000 0.888
Mo 0.781 0.500 0.888
Se 0.043 0.500 0.687
Se 0.257 0.500 0.209
Se 0.543 0.000 0.687
Se 0.757 0.000 0.209